VASP calculation (PBEsol) on Re2NiTe after structural relaxation.

The structure in POSCAR format:
```
Re2NiTe
1.0
3.857 0.000 0.000
0.000 3.857 0.000
0.000 0.000 4.010
Ni Te Re
1 1 2
Direct
0.000 0.000 0.500
0.500 0.500 0.500
0.000 0.500 0.000
0.500 0.000 0.000
```

Results
* E: -8.370 eV/atom
* M_tot: 0.0000 μB per atom
* ΔE_f (raw): 0.717 eV per atom
* DOS(E_F): 0.76 states/eV/atom

VASP calculation (PBEsol) on PPb2Se after structural relaxation.

The structure in POSCAR format:
```
PPb2Se
1.0
-3.958 2.200 2.218
-4.708 -1.792 -0.892
-2.483 -2.457 3.738
Pb Se P
2 1 1
Direct
0.749 0.251 0.251
0.251 0.749 0.749
0.500 0.000 0.000
0.000 0.500 0.500
```

Results
* E: -4.329 eV/atom
* energy relative to the lowest polymorph listed for this composition: 0.199 eV/atom
* M_tot: 0.0001 μB per atom
* ΔE_f (raw): 0.081 eV per atom
* DOS(E_F): 0.67 states/eV/atom

VASP calculation (PBEsol) on LaZrBH2 after structural relaxation.

The structure in POSCAR format:
```
LaZrBH2
1.0
-2.427 -2.988 -0.368
2.962 -2.455 0.396
-0.882 -0.054 6.261
La H B Zr
1 2 1 1
Direct
0.000 0.000 0.000
0.000 0.500 0.000
0.500 0.000 0.000
0.500 0.500 0.500
0.000 0.000 0.500
```

Results
* E: -4.646 eV/atom
* M_tot: 0.0002 μB per atom
* DOS(E_F): 0.99 states/eV/atom

VASP calculation (PBEsol) on InSnRh3 after structural relaxation.

The structure in POSCAR format:
```
InSnRh3
1.0
-0.882 3.775 -2.734
-4.432 0.184 1.683
1.445 2.867 3.492
Rh Sn In
3 1 1
Direct
0.000 0.500 0.000
0.000 0.000 0.500
0.500 0.000 0.000
0.000 0.000 0.000
0.500 0.500 0.500
```

Results
* E: -5.449 eV/atom
* energy relative to the lowest polymorph listed for this composition: 0.000 eV/atom
* M_tot: 0.0000 μB per atom
* DOS(E_F): 0.31 states/eV/atom

VASP calculation (PBEsol) on Mo3Ru2 after structural relaxation.

The structure in POSCAR format:
```
Mo3Ru2
1.0
4.187 0.000 0.000
-2.094 3.626 0.000
0.000 0.000 5.306
Mo Ru
3 2
Direct
0.667 0.333 0.630
0.000 0.000 0.000
0.333 0.667 0.370
0.333 0.667 0.851
0.667 0.333 0.149
```

Results
* E: -10.551 eV/atom
* M_tot: 0.0000 μB per atom
* DOS(E_F): 1.23 states/eV/atom

VASP calculation (PBEsol) on TlTcN2F after structural relaxation.

The structure in POSCAR format:
```
TlTcN2F
1.0
-4.073 1.022 -0.340
-1.029 -3.298 2.411
0.323 2.450 3.489
N Tc Tl F
2 1 1 1
Direct
0.000 0.500 0.000
0.500 0.000 0.000
0.500 0.500 0.500
0.000 0.000 0.000
0.000 0.000 0.500
```

Results
* E: -4.945 eV/atom
* M_tot: 0.7318 μB per atom
* ΔE_f (raw): 1.631 eV per atom
* DOS(E_F): 0.46 states/eV/atom

VASP calculation (PBEsol) on Cd3FeGe after structural relaxation.

The structure in POSCAR format:
```
Cd3FeGe
1.0
5.026 0.000 0.000
0.000 5.026 0.000
0.000 0.000 5.026
Ge Cd Fe
1 3 1
Direct
0.000 0.000 0.000
0.500 0.000 0.000
0.000 0.500 0.000
0.000 0.000 0.500
0.500 0.500 0.500
```

Results
* E: -2.436 eV/atom
* M_tot: 0.6697 μB per atom
* DOS(E_F): 1.39 states/eV/atom

VASP calculation (PBEsol) on Li2Ca2Ag after structural relaxation.

The structure in POSCAR format:
```
Li2Ca2Ag
1.0
3.730 0.000 0.000
0.000 3.730 0.000
-1.865 -1.865 9.241
Ca Li Ag
2 2 1
Direct
0.595 0.595 0.190
0.405 0.405 0.810
0.750 0.250 0.500
0.250 0.750 0.500
0.000 0.000 0.000
```

Results
* E: -2.353 eV/atom
* M_tot: 0.0001 μB per atom
* DOS(E_F): 0.48 states/eV/atom

VASP calculation (PBEsol) on ZrTe2Rh after structural relaxation.

The structure in POSCAR format:
```
ZrTe2Rh
1.0
-3.292 -1.035 1.479
1.727 -2.701 1.954
0.855 3.892 4.624
Rh Te Zr
1 2 1
Direct
0.500 0.500 0.766
0.000 0.000 0.928
0.500 0.500 0.321
0.000 0.000 0.485
```

Results
* E: -6.646 eV/atom
* energy relative to the lowest polymorph listed for this composition: 0.000 eV/atom
* M_tot: 0.0001 μB per atom
* ΔE_f (raw): -0.576 eV per atom
* DOS(E_F): 0.57 states/eV/atom

VASP calculation (PBEsol) on ZnCo4 after structural relaxation.

The structure in POSCAR format:
```
ZnCo4
1.0
-0.697 -2.094 -2.752
-2.970 -2.996 0.771
-3.144 1.423 -2.547
Co Zn
4 1
Direct
0.802 0.789 0.606
0.408 0.394 0.789
0.198 0.211 0.394
0.592 0.606 0.211
0.000 0.000 0.000
```

Results
* E: -6.477 eV/atom
* M_tot: 1.1728 μB per atom
* DOS(E_F): 1.06 states/eV/atom

VASP calculation (PBEsol) on Ho5Re2O12 after structural relaxation.

The structure in POSCAR format:
```
Ho5Re2O12
1.0
-4.459 1.951 -2.726
0.307 -6.721 0.396
-2.908 2.332 6.425
O Ho Re
12 5 2
Direct
0.501 0.003 0.179
0.594 0.692 0.427
0.499 0.997 0.821
0.999 0.997 0.207
0.001 0.003 0.793
0.098 0.692 0.427
0.902 0.308 0.573
0.087 0.667 0.915
0.420 0.333 0.085
0.580 0.667 0.915
0.406 0.308 0.573
0.913 0.333 0.085
0.686 0.371 0.825
0.000 0.000 0.500
0.303 0.605 0.641
0.314 0.629 0.175
0.697 0.395 0.359
0.784 0.000 0.000
0.216 0.000 0.000
```

Results
* E: -8.999 eV/atom
* M_tot: 0.0001 μB per atom
* ΔE_f (raw): -2.978 eV per atom
* DOS(E_F): 0.18 states/eV/atom

VASP calculation (PBEsol) on IrRh5 after structural relaxation.

The structure in POSCAR format:
```
IrRh5
1.0
4.347 0.000 0.000
0.000 4.656 0.000
0.000 -2.328 4.032
Rh Ir
5 1
Direct
0.000 0.669 0.000
0.500 0.667 0.333
0.000 0.000 0.669
0.000 0.331 0.331
0.500 0.333 0.667
0.500 0.000 0.000
```

Results
* E: -8.390 eV/atom
* energy relative to the lowest polymorph listed for this composition: 0.037 eV/atom
* M_tot: 0.0000 μB per atom
* DOS(E_F): 1.34 states/eV/atom

VASP calculation (PBEsol) on LaSb2Os after structural relaxation.

The structure in POSCAR format:
```
LaSb2Os
1.0
4.350 0.000 0.000
2.175 3.767 0.000
2.175 1.256 6.000
Sb Os La
2 1 1
Direct
0.275 0.275 0.175
0.055 0.055 0.836
0.674 0.674 0.978
0.490 0.490 0.530
```

Results
* E: -7.089 eV/atom
* M_tot: 0.0000 μB per atom
* ΔE_f (raw): -0.420 eV per atom
* DOS(E_F): 0.49 states/eV/atom

VASP calculation (PBEsol) on CrReAu2 after structural relaxation.

The structure in POSCAR format:
```
CrReAu2
1.0
2.839 0.000 0.000
0.000 2.839 0.000
0.000 0.000 7.555
Cr Re Au
1 1 2
Direct
0.000 0.000 0.525
0.500 0.500 0.713
0.000 0.000 0.991
0.500 0.500 0.270
```

Results
* E: -7.580 eV/atom
* energy relative to the lowest polymorph listed for this composition: 0.000 eV/atom
* M_tot: 0.2353 μB per atom
* DOS(E_F): 0.87 states/eV/atom

VASP calculation (PBEsol) on FeCu2Te after structural relaxation.

The structure in POSCAR format:
```
FeCu2Te
1.0
3.748 0.000 0.000
0.000 3.598 -0.109
-1.874 -1.669 4.210
Cu Te Fe
2 1 1
Direct
0.751 0.751 0.503
0.249 0.249 0.497
0.500 0.000 0.000
0.000 0.500 0.000
```

Results
* E: -4.948 eV/atom
* M_tot: 0.5111 μB per atom
* ΔE_f (raw): 0.341 eV per atom
* DOS(E_F): 1.21 states/eV/atom

VASP calculation (PBEsol) on BaIrBr2 after structural relaxation.

The structure in POSCAR format:
```
BaIrBr2
1.0
-0.930 4.788 1.111
0.113 0.659 4.957
4.239 2.304 1.323
Ba Br Ir
1 2 1
Direct
0.500 0.500 0.500
0.788 0.788 0.788
0.212 0.212 0.212
0.000 0.000 0.000
```

Results
* E: -4.413 eV/atom
* energy relative to the lowest polymorph listed for this composition: 0.000 eV/atom
* M_tot: 0.2576 μB per atom
* ΔE_f (raw): -0.485 eV per atom
* DOS(E_F): 1.11 states/eV/atom

VASP calculation (PBEsol) on Sc5Pb3 after structural relaxation.

The structure in POSCAR format:
```
Sc5Pb3
1.0
5.886 0.000 0.000
2.943 7.951 0.000
2.943 0.000 7.951
Sc Pb
10 6
Direct
0.579 0.145 0.697
0.421 0.855 0.303
0.276 0.303 0.145
0.224 0.855 0.697
0.724 0.697 0.855
0.776 0.145 0.303
0.250 0.500 0.500
0.750 0.500 0.500
0.079 0.697 0.145
0.921 0.303 0.855
0.163 0.173 0.500
0.750 0.000 0.000
0.337 0.500 0.827
0.663 0.500 0.173
0.250 0.000 0.000
0.837 0.827 0.500
```

Results
* E: -6.106 eV/atom
* energy relative to the lowest polymorph listed for this composition: 0.058 eV/atom
* M_tot: 0.1473 μB per atom
* DOS(E_F): 1.14 states/eV/atom

VASP calculation (PBEsol) on Cd5In after structural relaxation.

The structure in POSCAR format:
```
Cd5In
1.0
5.768 0.000 0.000
2.884 4.995 0.000
2.884 1.665 4.709
Cd In
5 1
Direct
0.625 0.625 0.126
0.250 0.250 0.250
0.625 0.625 0.625
0.625 0.126 0.625
0.126 0.625 0.625
0.000 0.000 0.000
```

Results
* E: -1.402 eV/atom
* energy relative to the lowest polymorph listed for this composition: 0.075 eV/atom
* M_tot: 0.0000 μB per atom
* DOS(E_F): 0.43 states/eV/atom

VASP calculation (PBEsol) on MgZn2Mo after structural relaxation.

The structure in POSCAR format:
```
MgZn2Mo
1.0
-1.123 2.481 0.495
-3.243 -1.109 -1.798
-2.087 -1.941 4.960
Zn Mo Mg
2 1 1
Direct
0.000 0.000 0.267
0.000 0.000 0.733
0.500 0.500 0.500
0.500 0.500 0.000
```

Results
* E: -4.014 eV/atom
* M_tot: 0.0001 μB per atom
* DOS(E_F): 0.61 states/eV/atom

VASP calculation (PBEsol) on AgRuSe2 after structural relaxation.

The structure in POSCAR format:
```
AgRuSe2
1.0
3.037 0.000 0.000
0.000 3.919 0.000
0.000 0.000 5.718
Se Ag Ru
2 1 1
Direct
0.000 0.000 0.932
0.500 0.500 0.264
0.000 0.000 0.484
0.500 0.500 0.819
```

Results
* E: -5.120 eV/atom
* energy relative to the lowest polymorph listed for this composition: 0.000 eV/atom
* M_tot: 0.0000 μB per atom
* ΔE_f (raw): 0.176 eV per atom
* DOS(E_F): 0.66 states/eV/atom

VASP calculation (PBEsol) on CsZnNiOs2 after structural relaxation.

The structure in POSCAR format:
```
CsZnNiOs2
1.0
4.629 0.000 0.000
0.000 4.629 0.000
0.000 0.000 4.652
Os Ni Zn Cs
2 1 1 1
Direct
0.500 0.000 0.000
0.000 0.500 0.000
0.000 0.000 0.000
0.000 0.000 0.500
0.500 0.500 0.500
```

Results
* E: -4.911 eV/atom
* M_tot: 0.6319 μB per atom
* DOS(E_F): 1.01 states/eV/atom

VASP calculation (PBEsol) on MnCo2O6 after structural relaxation.

The structure in POSCAR format:
```
MnCo2O6
1.0
-0.119 -0.800 2.688
0.579 -5.329 -1.560
5.814 2.234 -0.543
O Co Mn
6 2 1
Direct
0.009 0.228 0.018
0.342 0.890 0.684
0.321 0.447 0.642
0.991 0.772 0.982
0.679 0.553 0.358
0.658 0.110 0.316
0.833 0.668 0.666
0.167 0.332 0.334
0.500 0.000 0.000
```

Results
* E: -7.402 eV/atom
* M_tot: 0.4220 μB per atom
* ΔE_f (raw): -1.099 eV per atom
* DOS(E_F): 0.86 states/eV/atom

VASP calculation (PBEsol) on ZrCo2Tc after structural relaxation.

The structure in POSCAR format:
```
ZrCo2Tc
1.0
3.643 0.000 0.000
0.000 3.828 0.000
0.000 0.000 3.828
Tc Zr Co
1 1 2
Direct
0.500 0.500 0.500
0.500 0.000 0.000
0.000 0.000 0.500
0.000 0.500 0.000
```

Results
* E: -9.010 eV/atom
* M_tot: 0.0006 μB per atom
* DOS(E_F): 1.31 states/eV/atom

VASP calculation (PBEsol) on Ba3Ga3P5 after structural relaxation.

The structure in POSCAR format:
```
Ba3Ga3P5
1.0
-11.591 3.297 -4.128
-4.578 -8.850 -7.936
-8.938 -6.980 5.802
Ba Ga P
18 18 30
Direct
0.648 0.139 0.227
0.139 0.227 0.648
0.750 0.750 0.750
0.102 0.102 0.102
0.861 0.773 0.352
0.898 0.898 0.898
0.273 0.361 0.852
0.148 0.727 0.639
0.639 0.148 0.727
0.352 0.861 0.773
0.250 0.250 0.250
0.227 0.648 0.139
0.773 0.352 0.861
0.361 0.852 0.273
0.602 0.602 0.602
0.398 0.398 0.398
0.852 0.273 0.361
0.727 0.639 0.148
0.020 0.480 0.750
0.480 0.750 0.020
0.488 0.084 0.575
0.250 0.980 0.520
0.584 0.988 0.075
0.075 0.584 0.988
0.512 0.916 0.425
0.916 0.425 0.512
0.988 0.075 0.584
0.416 0.012 0.925
0.084 0.575 0.488
0.575 0.488 0.084
0.520 0.250 0.980
0.980 0.520 0.250
0.925 0.416 0.012
0.012 0.925 0.416
0.425 0.512 0.916
0.750 0.020 0.480
0.614 0.206 0.471
0.126 0.750 0.374
0.123 0.054 0.390
0.054 0.390 0.123
0.971 0.706 0.114
0.294 0.886 0.029
0.250 0.626 0.874
0.110 0.446 0.377
0.890 0.554 0.623
0.114 0.971 0.706
0.471 0.614 0.206
0.446 0.377 0.110
0.886 0.029 0.294
0.386 0.794 0.529
0.529 0.386 0.794
0.377 0.110 0.446
0.706 0.114 0.971
0.794 0.529 0.386
0.610 0.877 0.946
0.626 0.874 0.250
0.374 0.126 0.750
0.554 0.623 0.890
0.206 0.471 0.614
0.029 0.294 0.886
0.750 0.374 0.126
0.390 0.123 0.054
0.874 0.250 0.626
0.623 0.890 0.554
0.946 0.610 0.877
0.877 0.946 0.610
```

Results
* E: -4.896 eV/atom
* M_tot: 0.0000 μB per atom